Compound: BeCoF3
Source: Alexandria
Functional: PBE with a Hubbard U
Structure: relaxed

a = 3.6057 Å, b = 3.6057 Å, c = 3.6057 Å
α = 90.00°, β = 90.00°, γ = 90.00°
Element x y z (fractional)
Be 0.0000 0.0000 0.0000
Co 0.5000 0.5000 0.5000
F 0.0000 0.0000 0.5000
F 0.0000 0.5000 0.0000
F 0.5000 0.0000 0.0000

## Properties
- Distance to the lowest polymorph of the same formula: 0.000 eV/atom
- VASP energy: -4.6593 eV per atom
- Volume: 9.4 Å³/atom
- D(E_F): 7.28 states/eV/cell